[1]
# La5S8 | Alexandria via LeMat-Bulk | PBEsol | optimized geometry
# - DOS(E_F) (states/eV/cell) = 9.05
# - total energy (eV/atom) = -6.82
# - formation energy (no corrections) (eV per atom) = -2.064
data_La5S8
_chemical_formula_sum 'La5 S8'
_space_group_name_H-M_alt 'P 1'
_space_group_IT_number 1
_cell_length_a 7.4564
_cell_length_b 7.4564
_cell_length_c 7.4564
_cell_angle_alpha 109.44
_cell_angle_beta 109.44
_cell_angle_gamma 109.54
loop_
_space_group_symop_operation_xyz
'x,y,z'
loop_
_atom_site_label
_atom_site_type_symbol
_atom_site_fract_x
_atom_site_fract_y
_atom_site_fract_z
S1 S 0.6400 0.7235 0.7687
S2 S 0.7595 0.5214 0.4034
La1 La 0.8634 0.9848 0.6156
La2 La 0.3691 0.2477 0.3844
S3 S 0.9548 0.8713 0.2313
S4 S 0.2765 0.0452 0.9165
S5 S 0.1179 0.3561 0.5966
La3 La 0.5000 0.5000 0.0000
La4 La 0.0152 0.6309 0.8786
S6 S 0.4786 0.8821 0.2382
S7 S 0.6439 0.2405 0.7618
La5 La 0.7523 0.1366 0.1214
S8 S 0.1287 0.3600 0.0835

---

[2]
# KBaAs2 | Alexandria via LeMat-Bulk | PBEsol | optimized geometry
# - DOS(E_F) (states/eV/cell) = 0.36
# - total energy (eV/atom) = -4.06
# - E above lowest polymorph (meV per atom) = 0.0
data_KBaAs2
_chemical_formula_sum 'K1 Ba1 As2'
_space_group_name_H-M_alt 'P 1'
_space_group_IT_number 1
_cell_length_a 4.6707
_cell_length_b 4.8997
_cell_length_c 6.0870
_cell_angle_alpha 113.73
_cell_angle_beta 90.00
_cell_angle_gamma 90.00
loop_
_space_group_symop_operation_xyz
'x,y,z'
loop_
_atom_site_label
_atom_site_type_symbol
_atom_site_fract_x
_atom_site_fract_y
_atom_site_fract_z
As1 As 0.0000 0.8016 0.6033
As2 As 0.5000 0.6929 0.3858
Ba1 Ba 0.0000 0.1147 0.2294
K1 K 0.5000 0.3904 0.7808

---

[3]
# Sr2LaPt | Alexandria via LeMat-Bulk | PBEsol | optimized geometry
# - DOS(E_F) (states/eV/cell) = 3.01
# - total energy (eV/atom) = -4.50
# - E above lowest polymorph (meV per atom) = 0.0
data_Sr2LaPt
_chemical_formula_sum 'Sr2 La1 Pt1'
_space_group_name_H-M_alt 'P 1'
_space_group_IT_number 1
_cell_length_a 3.9616
_cell_length_b 4.2410
_cell_length_c 9.1598
_cell_angle_alpha 103.39
_cell_angle_beta 90.00
_cell_angle_gamma 90.00
loop_
_space_group_symop_operation_xyz
'x,y,z'
loop_
_atom_site_label
_atom_site_type_symbol
_atom_site_fract_x
_atom_site_fract_y
_atom_site_fract_z
Pt1 Pt 0.5000 0.3636 0.7272
La1 La 0.0000 0.8866 0.7732
Sr1 Sr 0.0000 0.2159 0.4319
Sr2 Sr 0.5000 0.5391 0.0783

---

[4]
# Ba2CaHg | Alexandria via LeMat-Bulk | PBEsol | optimized geometry
# - DOS(E_F) (states/eV/cell) = 4.47
# - total energy (eV/atom) = -1.88
# - E above lowest polymorph (meV per atom) = 155.3
data_Ba2CaHg
_chemical_formula_sum 'Ba2 Ca1 Hg1'
_space_group_name_H-M_alt 'P 1'
_space_group_IT_number 1
_cell_length_a 6.0745
_cell_length_b 6.0878
_cell_length_c 6.0745
_cell_angle_alpha 60.07
_cell_angle_beta 90.00
_cell_angle_gamma 119.93
loop_
_space_group_symop_operation_xyz
'x,y,z'
loop_
_atom_site_label
_atom_site_type_symbol
_atom_site_fract_x
_atom_site_fract_y
_atom_site_fract_z
Ba1 Ba 0.7500 0.5000 0.7500
Hg1 Hg 0.0000 0.0000 0.0000
Ba2 Ba 0.2500 0.5000 0.2500
Ca1 Ca 0.5000 0.0000 0.5000

---

[5]
# ScReIr2 | Alexandria via LeMat-Bulk | PBEsol | optimized geometry
# - DOS(E_F) (states/eV/cell) = 3.46
# - total energy (eV/atom) = -10.32
# - E above lowest polymorph (meV per atom) = 0.0
data_ScReIr2
_chemical_formula_sum 'Sc1 Re1 Ir2'
_space_group_name_H-M_alt 'P 1'
_space_group_IT_number 1
_cell_length_a 2.8109
_cell_length_b 4.7150
_cell_length_c 4.7150
_cell_angle_alpha 106.74
_cell_angle_beta 90.00
_cell_angle_gamma 90.00
loop_
_space_group_symop_operation_xyz
'x,y,z'
loop_
_atom_site_label
_atom_site_type_symbol
_atom_site_fract_x
_atom_site_fract_y
_atom_site_fract_z
Re1 Re 0.5000 0.0000 0.0000
Ir1 Ir 0.0000 0.0000 0.5000
Sc1 Sc 0.5000 0.5000 0.5000
Ir2 Ir 0.0000 0.5000 0.0000

---

[6]
# CaTlCu | Alexandria via LeMat-Bulk | PBEsol | optimized geometry
# - DOS(E_F) (states/eV/cell) = 1.35
# - total energy (eV/atom) = -3.13
data_CaTlCu
_chemical_formula_sum 'Ca1 Tl1 Cu1'
_space_group_name_H-M_alt 'P 1'
_space_group_IT_number 1
_cell_length_a 3.5016
_cell_length_b 3.5016
_cell_length_c 5.9050
_cell_angle_alpha 107.25
_cell_angle_beta 107.25
_cell_angle_gamma 90.00
loop_
_space_group_symop_operation_xyz
'x,y,z'
loop_
_atom_site_label
_atom_site_type_symbol
_atom_site_fract_x
_atom_site_fract_y
_atom_site_fract_z
Tl1 Tl 0.6928 0.6928 0.3856
Ca1 Ca 0.9897 0.9897 0.9793
Cu1 Cu 0.3176 0.3176 0.6351

---

[7]
# Nb2CrOs | Alexandria via LeMat-Bulk | PBEsol | optimized geometry
# - DOS(E_F) (states/eV/cell) = 1.38
# - total energy (eV/atom) = -11.17
data_Nb2CrOs
_chemical_formula_sum 'Nb2 Cr1 Os1'
_space_group_name_H-M_alt 'P 1'
_space_group_IT_number 1
_cell_length_a 4.4136
_cell_length_b 4.4136
_cell_length_c 4.4136
_cell_angle_alpha 60.00
_cell_angle_beta 60.00
_cell_angle_gamma 60.00
loop_
_space_group_symop_operation_xyz
'x,y,z'
loop_
_atom_site_label
_atom_site_type_symbol
_atom_site_fract_x
_atom_site_fract_y
_atom_site_fract_z
Nb1 Nb 0.7500 0.7500 0.7500
Cr1 Cr 0.0000 0.0000 0.0000
Nb2 Nb 0.2500 0.2500 0.2500
Os1 Os 0.5000 0.5000 0.5000

---

[8]
# TiCrSe2Br | Alexandria via LeMat-Bulk | PBEsol | optimized geometry
# - DOS(E_F) (states/eV/cell) = 6.71
# - total energy (eV/atom) = -5.50
# - formation energy (no corrections) (eV per atom) = 0.125
data_TiCrSe2Br
_chemical_formula_sum 'Ti1 Cr1 Se2 Br1'
_space_group_name_H-M_alt 'P 1'
_space_group_IT_number 1
_cell_length_a 4.8150
_cell_length_b 4.8021
_cell_length_c 4.8021
_cell_angle_alpha 90.00
_cell_angle_beta 90.00
_cell_angle_gamma 90.00
loop_
_space_group_symop_operation_xyz
'x,y,z'
loop_
_atom_site_label
_atom_site_type_symbol
_atom_site_fract_x
_atom_site_fract_y
_atom_site_fract_z
Se1 Se 0.0000 0.0000 0.5000
Br1 Br 0.5000 0.0000 0.0000
Ti1 Ti 0.5000 0.5000 0.5000
Se2 Se 0.0000 0.5000 0.0000
Cr1 Cr 0.0000 0.0000 0.0000

---

[9]
# TaMo3 | Alexandria via LeMat-Bulk | PBEsol | optimized geometry
# - DOS(E_F) (states/eV/cell) = 3.33
# - total energy (eV/atom) = -12.06
data_TaMo3
_chemical_formula_sum 'Ta2 Mo6'
_space_group_name_H-M_alt 'P 1'
_space_group_IT_number 1
_cell_length_a 4.4787
_cell_length_b 5.2324
_cell_length_c 5.4740
_cell_angle_alpha 100.17
_cell_angle_beta 90.00
_cell_angle_gamma 90.00
loop_
_space_group_symop_operation_xyz
'x,y,z'
loop_
_atom_site_label
_atom_site_type_symbol
_atom_site_fract_x
_atom_site_fract_y
_atom_site_fract_z
Mo1 Mo 0.7500 0.6271 0.6902
Mo2 Mo 0.2500 0.3729 0.3098
Mo3 Mo 0.2500 0.8752 0.0641
Mo4 Mo 0.7500 0.1248 0.9359
Mo5 Mo 0.2500 0.3770 0.8125
Mo6 Mo 0.7500 0.6230 0.1875
Ta1 Ta 0.2500 0.8708 0.5650
Ta2 Ta 0.7500 0.1292 0.4350

---

[10]
# UCl6 | Alexandria via LeMat-Bulk | PBEsol | optimized geometry
# - DOS(E_F) (states/eV/cell) = 0.00
# - total energy (eV/atom) = -4.90
# - formation energy (no corrections) (eV per atom) = -1.437
data_UCl6
_chemical_formula_sum 'U3 Cl18'
_space_group_name_H-M_alt 'P 1'
_space_group_IT_number 1
_cell_length_a 6.1341
_cell_length_b 11.1487
_cell_length_c 11.1487
_cell_angle_alpha 120.00
_cell_angle_beta 90.00
_cell_angle_gamma 90.00
loop_
_space_group_symop_operation_xyz
'x,y,z'
loop_
_atom_site_label
_atom_site_type_symbol
_atom_site_fract_x
_atom_site_fract_y
_atom_site_fract_z
Cl1 Cl 0.2971 0.4600 0.2300
Cl2 Cl 0.2971 0.7700 0.5400
Cl3 Cl 0.7587 0.5635 0.4365
Cl4 Cl 0.2971 0.7700 0.2300
Cl5 Cl 0.7029 0.5400 0.7700
Cl6 Cl 0.2302 0.7933 0.8966
Cl7 Cl 0.2302 0.1034 0.2067
U1 U 0.4722 0.3333 0.6667
Cl8 Cl 0.7029 0.2300 0.7700
Cl9 Cl 0.7698 0.2067 0.1034
Cl10 Cl 0.7698 0.8966 0.7933
U2 U 0.5278 0.6667 0.3333
Cl11 Cl 0.7029 0.2300 0.4600
Cl12 Cl 0.2413 0.4365 0.5635
Cl13 Cl 0.7698 0.8966 0.1034
Cl14 Cl 0.7587 0.8730 0.4365
U3 U 0.0000 0.0000 0.0000
Cl15 Cl 0.2413 0.1270 0.5635
Cl16 Cl 0.2413 0.4365 0.8730
Cl17 Cl 0.7587 0.5635 0.1270
Cl18 Cl 0.2302 0.1034 0.8966

---

[11]
# SmGd3Al4O12 | Alexandria via LeMat-Bulk | PBEsol | optimized geometry
# - DOS(E_F) (states/eV/cell) = 0.00
# - total energy (eV/atom) = -9.75
# - formation energy (no corrections) (eV per atom) = -3.358
data_SmGd3Al4O12
_chemical_formula_sum 'Sm1 Gd3 Al4 O12'
_space_group_name_H-M_alt 'P 1'
_space_group_IT_number 1
_cell_length_a 5.2408
_cell_length_b 5.3019
_cell_length_c 7.4362
_cell_angle_alpha 90.00
_cell_angle_beta 90.00
_cell_angle_gamma 90.08
loop_
_space_group_symop_operation_xyz
'x,y,z'
loop_
_atom_site_label
_atom_site_type_symbol
_atom_site_fract_x
_atom_site_fract_y
_atom_site_fract_z
O1 O 0.2858 0.7139 0.7907
O2 O 0.7857 0.7863 0.2909
Gd1 Gd 0.0094 0.9589 0.0000
O3 O 0.0722 0.4835 0.5000
Al1 Al 0.5004 0.9999 0.7506
O4 O 0.9233 0.5175 0.0000
Gd2 Gd 0.9901 0.0416 0.5000
O5 O 0.7159 0.2846 0.2886
O6 O 0.7857 0.7863 0.7091
O7 O 0.2152 0.2146 0.2088
O8 O 0.7159 0.2846 0.7114
Gd3 Gd 0.4904 0.4581 0.0000
Al2 Al 0.5004 0.9999 0.2494
O9 O 0.2152 0.2146 0.7912
O10 O 0.5765 0.0152 0.0000
Al3 Al 0.9997 0.5001 0.2495
Al4 Al 0.9997 0.5001 0.7505
O11 O 0.2858 0.7139 0.2093
Sm1 Sm 0.5094 0.5391 0.5000
O12 O 0.4235 0.9874 0.5000